{"formula": "NdCoPd", "functional": "GGA-PBE", "state": "optimized geometry", "density_g_cm3": 7.5, "delta_e_f_ev_per_atom": 0.071, "cell": [[4.543, -0.303, 0.585], [2.422, 3.730, 1.139], [1.802, 0.371, 4.206]], "species": ["Pd", "Co", "Nd"], "fractional_positions": [[0.000, 0.000, 0.000], [0.750, 0.750, 0.750], [0.250, 0.250, 0.250]]}

***

{"formula": "Ba2Si3Ni", "functional": "GGA-PBE", "state": "optimized geometry", "final_energy_ev_per_cell": -85.5, "density_g_cm3": 4.7, "cell": [[11.432, 0.000, 0.000], [-5.716, 9.900, 0.000], [0.000, 0.000, 3.920]], "species": ["Ba", "Ba", "Ba", "Ba", "Ba", "Ba", "Si", "Si", "Si", "Si", "Si", "Si", "Si", "Si", "Si", "Ni", "Ni", "Ni"], "fractional_positions": [[0.000, 0.618, 0.000], [0.000, 0.287, 0.000], [0.382, 0.382, 0.000], [0.287, 0.000, 0.000], [0.713, 0.713, 0.000], [0.618, 0.000, 0.000], [0.684, 0.464, 0.500], [0.464, 0.684, 0.500], [0.316, 0.780, 0.500], [0.220, 0.536, 0.500], [0.780, 0.316, 0.500], [0.000, 0.876, 0.500], [0.124, 0.124, 0.500], [0.876, 0.000, 0.500], [0.536, 0.220, 0.500], [0.000, 0.000, 0.000], [0.667, 0.333, 0.000], [0.333, 0.667, 0.000]]}

***

{"formula": "SrTlCdAu", "functional": "GGA-PBE", "state": "optimized geometry", "polymorph_energy_mev_per_atom": 0, "density_g_cm3": 9.4, "cell": [[0.000, 3.762, 3.762], [3.762, 0.000, 3.762], [3.762, 3.762, 0.000]], "species": ["Tl", "Cd", "Sr", "Au"], "fractional_positions": [[0.500, 0.500, 0.500], [0.250, 0.250, 0.250], [0.000, 0.000, 0.000], [0.750, 0.750, 0.750]]}

***

{"formula": "FeMoC2", "functional": "GGA-PBE", "state": "optimized geometry", "final_energy_ev_per_cell": -70.7, "density_g_cm3": 7.3, "cell": [[2.227, -2.225, 0.000], [2.227, 2.225, 0.000], [-1.395, 0.000, 8.073]], "species": ["C", "C", "C", "C", "Mo", "Mo", "Fe", "Fe"], "fractional_positions": [[0.446, 0.560, 0.554], [0.498, 0.847, 0.704], [0.847, 0.498, 0.204], [0.560, 0.446, 0.054], [0.078, 0.939, 0.027], [0.939, 0.078, 0.527], [0.529, 0.370, 0.818], [0.370, 0.529, 0.318]]}

***

{"formula": "Ba2InOsN6", "functional": "GGA-PBE", "state": "optimized geometry", "polymorph_energy_mev_per_atom": 70, "density_g_cm3": 7.6, "cell": [[0.447, 5.841, 0.767], [-3.330, 2.712, 4.057], [4.419, -3.556, 1.689]], "species": ["N", "N", "N", "N", "N", "N", "Os", "Ba", "Ba", "In"], "fractional_positions": [[0.766, 0.233, 0.732], [0.767, 0.234, 0.268], [0.234, 0.767, 0.268], [0.767, 0.767, 0.265], [0.233, 0.766, 0.732], [0.233, 0.233, 0.735], [0.000, 0.000, 0.500], [0.250, 0.250, 0.250], [0.750, 0.750, 0.750], [0.500, 0.500, 0.000]]}

***

{"formula": "KGdDyCu2", "functional": "GGA-PBE", "state": "optimized geometry", "final_energy_ev_per_cell": -17.8, "density_g_cm3": 5.7, "cell": [[-0.334, -3.247, -1.871], [-8.836, 1.177, -0.467], [-7.330, 3.088, -4.052]], "species": ["Gd", "Dy", "Cu", "Cu", "K"], "fractional_positions": [[0.000, 0.331, 0.331], [0.000, 0.670, 0.670], [0.500, 0.206, 0.206], [0.500, 0.793, 0.793], [0.500, 0.001, 0.001]]}

***

{"formula": "TmNbN2O", "functional": "GGA-PBE", "state": "optimized geometry", "final_energy_ev_per_cell": -90.3, "density_g_cm3": 7.9, "cell": [[-1.254, 3.260, -0.859], [-4.156, -0.390, 4.591], [3.764, 2.400, 3.611]], "species": ["O", "O", "N", "N", "N", "N", "Nb", "Nb", "Tm", "Tm"], "fractional_positions": [[0.000, 0.105, 0.954], [0.000, 0.895, 0.454], [0.500, 0.202, 0.292], [0.000, 0.602, 0.089], [0.500, 0.798, 0.792], [0.000, 0.398, 0.589], [0.000, 0.677, 0.729], [0.000, 0.323, 0.229], [0.500, 0.153, 0.686], [0.500, 0.847, 0.186]]}

***

{"formula": "LaPrI2BrN", "functional": "GGA-PBE", "state": "optimized geometry", "polymorph_energy_mev_per_atom": 0, "density_g_cm3": 5.1, "cell": [[-3.262, -7.047, 5.927], [0.369, -6.001, 7.699], [-3.830, 11.560, 1.029]], "species": ["I", "I", "I", "I", "N", "N", "La", "La", "Br", "Br", "Pr", "Pr"], "fractional_positions": [[0.949, 0.949, 0.259], [0.051, 0.051, 0.741], [0.663, 0.663, 0.518], [0.337, 0.337, 0.482], [0.569, 0.569, 0.150], [0.431, 0.431, 0.850], [0.871, 0.871, 0.722], [0.129, 0.129, 0.278], [0.791, 0.791, 0.885], [0.209, 0.209, 0.115], [0.577, 0.577, 0.962], [0.423, 0.423, 0.038]]}